Version i
Crystalline LiY2Pt at its relaxed geometry. Source: OQMD, functional PBE.

Geometry as CIF:
```
data_LiY2Pt
_chemical_formula_sum 'Li4 Y8 Pt4'
_symmetry_space_group_name_H-M 'P 1'
_symmetry_Int_Tables_number 1
_cell_length_a 7.317
_cell_length_b 7.503
_cell_length_c 7.372
_cell_angle_alpha 90.00
_cell_angle_beta 90.00
_cell_angle_gamma 90.00
loop_
_symmetry_equiv_pos_as_xyz
'x,y,z'
loop_
_atom_site_label
_atom_site_type_symbol
_atom_site_fract_x
_atom_site_fract_y
_atom_site_fract_z
Y1 Y 0.317 0.996 0.678
Y2 Y 0.183 0.504 0.178
Li1 Li 0.983 0.250 0.490
Y3 Y 0.683 0.004 0.322
Pt1 Pt 0.605 0.250 0.612
Pt2 Pt 0.105 0.750 0.888
Y4 Y 0.817 0.496 0.822
Y5 Y 0.183 0.996 0.178
Pt3 Pt 0.395 0.750 0.388
Pt4 Pt 0.895 0.250 0.112
Y6 Y 0.317 0.504 0.678
Li2 Li 0.517 0.250 0.990
Li3 Li 0.483 0.750 0.010
Y7 Y 0.817 0.004 0.822
Y8 Y 0.683 0.496 0.322
Li4 Li 0.017 0.750 0.510
```

---

Version ii
Crystalline LiY2Pt at its relaxed geometry. Source: OQMD, functional PBE.

Geometry as CIF:
```
data_LiY2Pt
_chemical_formula_sum 'Li1 Y2 Pt1'
_symmetry_space_group_name_H-M 'P 1'
_symmetry_Int_Tables_number 1
_cell_length_a 4.892
_cell_length_b 4.892
_cell_length_c 3.653
_cell_angle_alpha 90.00
_cell_angle_beta 90.00
_cell_angle_gamma 90.00
loop_
_symmetry_equiv_pos_as_xyz
'x,y,z'
loop_
_atom_site_label
_atom_site_type_symbol
_atom_site_fract_x
_atom_site_fract_y
_atom_site_fract_z
Li1 Li 0.000 0.000 0.000
Y1 Y 0.000 0.500 0.500
Pt1 Pt 0.500 0.500 0.000
Y2 Y 0.500 0.000 0.500
```

---

Version iii
Crystalline LiY2Pt at its relaxed geometry. Source: OQMD, functional PBE.

Geometry as CIF:
```
data_LiY2Pt
_chemical_formula_sum 'Li6 Y12 Pt6'
_symmetry_space_group_name_H-M 'P 1'
_symmetry_Int_Tables_number 1
_cell_length_a 4.979
_cell_length_b 7.041
_cell_length_c 14.940
_cell_angle_alpha 90.00
_cell_angle_beta 90.00
_cell_angle_gamma 90.00
loop_
_symmetry_equiv_pos_as_xyz
'x,y,z'
loop_
_atom_site_label
_atom_site_type_symbol
_atom_site_fract_x
_atom_site_fract_y
_atom_site_fract_z
Y1 Y 0.500 0.250 0.333
Y2 Y 0.500 0.750 0.333
Y3 Y 0.500 0.250 0.000
Li1 Li 0.999 0.500 0.333
Pt1 Pt 0.000 0.000 0.000
Y4 Y 0.000 0.250 0.833
Y5 Y 0.000 0.250 0.500
Y6 Y 0.000 0.750 0.500
Li2 Li 0.499 0.000 0.167
Li3 Li 0.000 0.500 0.000
Y7 Y 0.000 0.750 0.833
Y8 Y 0.000 0.250 0.167
Li4 Li 0.500 0.000 0.500
Pt2 Pt 0.500 0.500 0.167
Pt3 Pt 0.000 0.000 0.667
Li5 Li 0.001 0.500 0.667
Pt4 Pt 0.000 0.000 0.333
Y9 Y 0.500 0.750 0.000
Y10 Y 0.500 0.250 0.667
Pt5 Pt 0.500 0.500 0.500
Y11 Y 0.500 0.750 0.667
Y12 Y 0.000 0.750 0.167
Pt6 Pt 0.500 0.500 0.833
Li6 Li 0.501 0.000 0.833
```

---

It is version i that is the least stable of them.

---

Version i
Crystalline LiYZrPt at its relaxed geometry. Source: OQMD, functional PBE.

Geometry as CIF:
```
data_LiYZrPt
_chemical_formula_sum 'Li1 Y1 Zr1 Pt1'
_symmetry_space_group_name_H-M 'P 1'
_symmetry_Int_Tables_number 1
_cell_length_a 4.734
_cell_length_b 4.734
_cell_length_c 4.734
_cell_angle_alpha 60.00
_cell_angle_beta 60.00
_cell_angle_gamma 60.00
loop_
_symmetry_equiv_pos_as_xyz
'x,y,z'
loop_
_atom_site_label
_atom_site_type_symbol
_atom_site_fract_x
_atom_site_fract_y
_atom_site_fract_z
Zr1 Zr 0.250 0.250 0.250
Y1 Y 0.500 0.500 0.500
Pt1 Pt 0.000 0.000 0.000
Li1 Li 0.750 0.750 0.750
```

---

Version ii
Crystalline LiYZrPt at its relaxed geometry. Source: OQMD, functional PBE.

Geometry as CIF:
```
data_LiYZrPt
_chemical_formula_sum 'Li1 Y1 Zr1 Pt1'
_symmetry_space_group_name_H-M 'P 1'
_symmetry_Int_Tables_number 1
_cell_length_a 4.844
_cell_length_b 4.844
_cell_length_c 4.844
_cell_angle_alpha 60.00
_cell_angle_beta 60.00
_cell_angle_gamma 60.00
loop_
_symmetry_equiv_pos_as_xyz
'x,y,z'
loop_
_atom_site_label
_atom_site_type_symbol
_atom_site_fract_x
_atom_site_fract_y
_atom_site_fract_z
Y1 Y 0.500 0.500 0.500
Zr1 Zr 0.000 0.000 0.000
Li1 Li 0.750 0.750 0.750
Pt1 Pt 0.250 0.250 0.250
```

---

It is version i that is the least stable of them.

---

Version i
Crystalline LiPuSb at its relaxed geometry. Source: OQMD, functional PBE.

Geometry as CIF:
```
data_LiPuSb
_chemical_formula_sum 'Li1 Pu1 Sb1'
_symmetry_space_group_name_H-M 'P 1'
_symmetry_Int_Tables_number 1
_cell_length_a 5.006
_cell_length_b 5.006
_cell_length_c 5.006
_cell_angle_alpha 60.00
_cell_angle_beta 60.00
_cell_angle_gamma 60.00
loop_
_symmetry_equiv_pos_as_xyz
'x,y,z'
loop_
_atom_site_label
_atom_site_type_symbol
_atom_site_fract_x
_atom_site_fract_y
_atom_site_fract_z
Sb1 Sb 0.000 0.000 0.000
Li1 Li 0.500 0.500 0.500
Pu1 Pu 0.250 0.250 0.250
```

---

Version ii
Crystalline LiPuSb at its relaxed geometry. Source: OQMD, functional PBE.

Geometry as CIF:
```
data_LiPuSb
_chemical_formula_sum 'Li2 Pu2 Sb2'
_symmetry_space_group_name_H-M 'P 1'
_symmetry_Int_Tables_number 1
_cell_length_a 4.779
_cell_length_b 4.779
_cell_length_c 6.985
_cell_angle_alpha 90.00
_cell_angle_beta 90.00
_cell_angle_gamma 120.00
loop_
_symmetry_equiv_pos_as_xyz
'x,y,z'
loop_
_atom_site_label
_atom_site_type_symbol
_atom_site_fract_x
_atom_site_fract_y
_atom_site_fract_z
Pu1 Pu 0.000 0.000 0.500
Sb1 Sb 0.667 0.333 0.250
Pu2 Pu 0.000 0.000 0.000
Li1 Li 0.333 0.667 0.250
Sb2 Sb 0.333 0.667 0.750
Li2 Li 0.667 0.333 0.750
```

---

It is version i that is the least stable of them.

---

Version i
Crystalline LiPuTe at its relaxed geometry. Source: OQMD, functional PBE.

Geometry as CIF:
```
data_LiPuTe
_chemical_formula_sum 'Li1 Pu1 Te1'
_symmetry_space_group_name_H-M 'P 1'
_symmetry_Int_Tables_number 1
_cell_length_a 4.954
_cell_length_b 4.954
_cell_length_c 4.954
_cell_angle_alpha 60.00
_cell_angle_beta 60.00
_cell_angle_gamma 60.00
loop_
_symmetry_equiv_pos_as_xyz
'x,y,z'
loop_
_atom_site_label
_atom_site_type_symbol
_atom_site_fract_x
_atom_site_fract_y
_atom_site_fract_z
Pu1 Pu 0.500 0.500 0.500
Te1 Te 0.750 0.750 0.750
Li1 Li 0.000 0.000 0.000
```

---

Version ii
Crystalline LiPuTe at its relaxed geometry. Source: OQMD, functional PBE.

Geometry as CIF:
```
data_LiPuTe
_chemical_formula_sum 'Li1 Pu1 Te1'
_symmetry_space_group_name_H-M 'P 1'
_symmetry_Int_Tables_number 1
_cell_length_a 5.055
_cell_length_b 5.055
_cell_length_c 5.055
_cell_angle_alpha 60.00
_cell_angle_beta 60.00
_cell_angle_gamma 60.00
loop_
_symmetry_equiv_pos_as_xyz
'x,y,z'
loop_
_atom_site_label
_atom_site_type_symbol
_atom_site_fract_x
_atom_site_fract_y
_atom_site_fract_z
Pu1 Pu 0.000 0.000 0.000
Te1 Te 0.750 0.750 0.750
Li1 Li 0.250 0.250 0.250
```

---

It is version ii that is the least stable of them.

---

Version i
Crystalline LiPuW at its relaxed geometry. Source: OQMD, functional PBE.

Geometry as CIF:
```
data_LiPuW
_chemical_formula_sum 'Li1 Pu1 W1'
_symmetry_space_group_name_H-M 'P 1'
_symmetry_Int_Tables_number 1
_cell_length_a 4.340
_cell_length_b 4.340
_cell_length_c 4.340
_cell_angle_alpha 60.00
_cell_angle_beta 60.00
_cell_angle_gamma 60.00
loop_
_symmetry_equiv_pos_as_xyz
'x,y,z'
loop_
_atom_site_label
_atom_site_type_symbol
_atom_site_fract_x
_atom_site_fract_y
_atom_site_fract_z
W1 W 0.750 0.750 0.750
Pu1 Pu 0.000 0.000 0.000
Li1 Li 0.250 0.250 0.250
```

---

Version ii
Crystalline LiPuW at its relaxed geometry. Source: OQMD, functional PBE.

Geometry as CIF:
```
data_LiPuW
_chemical_formula_sum 'Li1 Pu1 W1'
_symmetry_space_group_name_H-M 'P 1'
_symmetry_Int_Tables_number 1
_cell_length_a 4.315
_cell_length_b 4.315
_cell_length_c 4.315
_cell_angle_alpha 60.00
_cell_angle_beta 60.00
_cell_angle_gamma 60.00
loop_
_symmetry_equiv_pos_as_xyz
'x,y,z'
loop_
_atom_site_label
_atom_site_type_symbol
_atom_site_fract_x
_atom_site_fract_y
_atom_site_fract_z
Pu1 Pu 0.250 0.250 0.250
Li1 Li 0.750 0.750 0.750
W1 W 0.000 0.000 0.000
```

---

It is version i that is the least stable of them.

---

Version i
Crystalline LiRe at its relaxed geometry. Source: OQMD, functional PBE.

Geometry as CIF:
```
data_LiRe
_chemical_formula_sum 'Li1 Re1'
_symmetry_space_group_name_H-M 'P 1'
_symmetry_Int_Tables_number 1
_cell_length_a 3.574
_cell_length_b 3.574
_cell_length_c 3.574
_cell_angle_alpha 60.00
_cell_angle_beta 60.00
_cell_angle_gamma 60.00
loop_
_symmetry_equiv_pos_as_xyz
'x,y,z'
loop_
_atom_site_label
_atom_site_type_symbol
_atom_site_fract_x
_atom_site_fract_y
_atom_site_fract_z
Li1 Li 0.000 0.000 0.000
Re1 Re 0.250 0.250 0.250
```

---

Version ii
Crystalline LiRe at its relaxed geometry. Source: OQMD, functional PBE.

Geometry as CIF:
```
data_LiRe
_chemical_formula_sum 'Li1 Re1'
_symmetry_space_group_name_H-M 'P 1'
_symmetry_Int_Tables_number 1
_cell_length_a 3.251
_cell_length_b 3.251
_cell_length_c 3.251
_cell_angle_alpha 60.00
_cell_angle_beta 60.00
_cell_angle_gamma 60.00
loop_
_symmetry_equiv_pos_as_xyz
'x,y,z'
loop_
_atom_site_label
_atom_site_type_symbol
_atom_site_fract_x
_atom_site_fract_y
_atom_site_fract_z
Li1 Li 0.000 0.000 0.000
Re1 Re 0.500 0.500 0.500
```

---

It is version i that is the least stable of them.

---

Version i
Crystalline LiReSiW at its relaxed geometry. Source: OQMD, functional PBE.

Geometry as CIF:
```
data_LiReSiW
_chemical_formula_sum 'Li1 Re1 Si1 W1'
_symmetry_space_group_name_H-M 'P 1'
_symmetry_Int_Tables_number 1
_cell_length_a 4.257
_cell_length_b 4.257
_cell_length_c 4.257
_cell_angle_alpha 60.00
_cell_angle_beta 60.00
_cell_angle_gamma 60.00
loop_
_symmetry_equiv_pos_as_xyz
'x,y,z'
loop_
_atom_site_label
_atom_site_type_symbol
_atom_site_fract_x
_atom_site_fract_y
_atom_site_fract_z
Li1 Li 0.750 0.750 0.750
W1 W 0.000 0.000 0.000
Si1 Si 0.500 0.500 0.500
Re1 Re 0.250 0.250 0.250
```

---

Version ii
Crystalline LiReSiW at its relaxed geometry. Source: OQMD, functional PBE.

Geometry as CIF:
```
data_LiReSiW
_chemical_formula_sum 'Li1 Re1 Si1 W1'
_symmetry_space_group_name_H-M 'P 1'
_symmetry_Int_Tables_number 1
_cell_length_a 4.214
_cell_length_b 4.214
_cell_length_c 4.214
_cell_angle_alpha 60.00
_cell_angle_beta 60.00
_cell_angle_gamma 60.00
loop_
_symmetry_equiv_pos_as_xyz
'x,y,z'
loop_
_atom_site_label
_atom_site_type_symbol
_atom_site_fract_x
_atom_site_fract_y
_atom_site_fract_z
W1 W 0.000 0.000 0.000
Si1 Si 0.250 0.250 0.250
Re1 Re 0.500 0.500 0.500
Li1 Li 0.750 0.750 0.750
```

---

It is version ii that is the least stable of them.

---

Version i
Crystalline LiSmRe at its relaxed geometry. Source: OQMD, functional PBE.

Geometry as CIF:
```
data_LiSmRe
_chemical_formula_sum 'Li1 Sm1 Re1'
_symmetry_space_group_name_H-M 'P 1'
_symmetry_Int_Tables_number 1
_cell_length_a 4.627
_cell_length_b 4.627
_cell_length_c 4.627
_cell_angle_alpha 60.00
_cell_angle_beta 60.00
_cell_angle_gamma 60.00
loop_
_symmetry_equiv_pos_as_xyz
'x,y,z'
loop_
_atom_site_label
_atom_site_type_symbol
_atom_site_fract_x
_atom_site_fract_y
_atom_site_fract_z
Re1 Re 0.750 0.750 0.750
Sm1 Sm 0.000 0.000 0.000
Li1 Li 0.250 0.250 0.250
```

---

Version ii
Crystalline LiSmRe at its relaxed geometry. Source: OQMD, functional PBE.

Geometry as CIF:
```
data_LiSmRe
_chemical_formula_sum 'Li1 Sm1 Re1'
_symmetry_space_group_name_H-M 'P 1'
_symmetry_Int_Tables_number 1
_cell_length_a 4.408
_cell_length_b 4.408
_cell_length_c 4.408
_cell_angle_alpha 60.00
_cell_angle_beta 60.00
_cell_angle_gamma 60.00
loop_
_symmetry_equiv_pos_as_xyz
'x,y,z'
loop_
_atom_site_label
_atom_site_type_symbol
_atom_site_fract_x
_atom_site_fract_y
_atom_site_fract_z
Li1 Li 0.000 0.000 0.000
Sm1 Sm 0.750 0.750 0.750
Re1 Re 0.250 0.250 0.250
```

---

It is version i that is the least stable of them.